The following is a DFT calculation (SCAN) of a PBEsol-optimized structure of ZnMoRu.

a b c (Å): 4.0530 4.0530 4.0530
angles (deg): 60.00 60.00 60.00
Closest atoms and distances in Å follow each position.
Atoms (fractional coordinates):
1 Mo 0.0000 0.0000 0.0000  4 Zn 2.48
2 Ru 0.5000 0.5000 0.5000  4 Zn 2.48
3 Zn 0.2500 0.2500 0.2500  4 Mo 2.48, 4 Ru 2.48

Summary:
Relative energy among the computed polymorphs ... 2.92 eV/f.u.
Fermi-level density of states ... 1.040 states/eV/atom
SG ... No. 216
ρ ... 9.26 g cm⁻³
Calculated total energy ... -26.7980 eV/atom

=====

The following is a DFT calculation (SCAN) of a PBEsol-optimized structure of MgFeIrAu2.

a b c (Å): 4.4491 4.5719 4.5719
angles (deg): 90.00 90.00 90.00
Closest atoms and distances in Å follow each position.
Atoms (fractional coordinates):
1 Fe 0.0000 0.0000 0.0000  2 Mg 2.22, 4 Au 2.29
2 Au 0.0000 0.5000 0.0000  2 Fe 2.29
3 Au 0.0000 0.0000 0.5000  2 Fe 2.29
4 Ir 0.5000 0.5000 0.5000  8 Au 3.19, 4 Mg 3.23
5 Mg 0.5000 0.0000 0.0000  2 Fe 2.22

Summary:
Fermi-level density of states ... 0.478 states/eV/atom
SG ... No. 123
ρ ... 11.90 g cm⁻³
Calculated total energy ... -45.3871 eV/atom

=====

The following is a DFT calculation (SCAN) of a PBEsol-optimized structure of CrRu3Au.

a b c (Å): 4.3370 4.3370 4.3370
angles (deg): 90.00 90.00 90.00
Closest atoms and distances in Å follow each position.
Atoms (fractional coordinates):
1 Ru 0.0000 0.5000 0.0000  2 Cr 2.17
2 Ru 0.5000 0.0000 0.0000  2 Cr 2.17
3 Ru 0.0000 0.0000 0.5000  2 Cr 2.17
4 Au 0.5000 0.5000 0.5000  12 Ru 3.07
5 Cr 0.0000 0.0000 0.0000  6 Ru 2.17

Summary:
Fermi-level density of states ... 0.755 states/eV/atom
SG ... No. 221
ρ ... 11.24 g cm⁻³
Calculated total energy ... -37.1429 eV/atom